(1)
! HoZrAg2 PBE-GGA optimized geometry; values from VASP
&SYSTEM
  ibrav = 0, nat = 4, ntyp = 3
/
ATOMIC_SPECIES
Ag 107.87 Ag.upf
Ho 164.93 Ho.upf
Zr 91.22 Zr.upf
CELL_PARAMETERS angstrom
5.0009 0.0000 0.0000
2.5004 4.3309 0.0000
2.5004 1.4436 4.0832
ATOMIC_POSITIONS crystal
Ag 0.7500 0.7500 0.7500
Ag 0.2500 0.2500 0.2500
Ho 0.5000 0.5000 0.5000
Zr 0.0000 0.0000 0.0000
! VASP energy, eV per atom: -4.8020
! Energy of formation, kJ per mole of atoms: -9.16
! Mass density, g/cm3: 8.861
! Energy above the lowest structure with this stoichiometry, meV/atom: 23

(2)
! SmHo2TeO8 PBE-GGA optimized geometry; values from VASP
&SYSTEM
  ibrav = 0, nat = 12, ntyp = 4
/
ATOMIC_SPECIES
Sm 150.36 Sm.upf
O 16.00 O.upf
Te 127.60 Te.upf
Ho 164.93 Ho.upf
CELL_PARAMETERS angstrom
5.0136 -0.0438 -0.0029
-0.0125 5.0171 -0.0055
0.0040 0.0076 6.9643
ATOMIC_POSITIONS crystal
Sm 0.0000 0.0000 0.5000
O 0.2775 0.2767 0.0000
O 0.3179 0.3166 0.5000
O 0.1839 0.8155 0.7918
O 0.8161 0.1845 0.2082
O 0.7225 0.7233 0.0000
O 0.8161 0.1845 0.7918
O 0.1839 0.8155 0.2082
O 0.6821 0.6834 0.5000
Te 0.0000 0.0000 0.0000
Ho 0.5000 0.5000 0.7574
Ho 0.5000 0.5000 0.2426
! Formation energy (no corrections), eV per atom: -2.50
! VASP energy, eV per atom: -7.2275
! Mass density, g/cm3: 6.975

(3)
! Sr3Pr PBE-GGA optimized geometry; values from VASP
&SYSTEM
  ibrav = 0, nat = 4, ntyp = 2
/
ATOMIC_SPECIES
Pr 140.91 Pr.upf
Sr 87.62 Sr.upf
CELL_PARAMETERS angstrom
4.0128 0.0000 0.0000
0.0000 7.0937 0.0000
-2.0064 -3.5468 6.6929
ATOMIC_POSITIONS crystal
Pr 0.0000 0.0008 0.0000
Sr 0.5000 0.4987 0.0000
Sr 0.7432 0.0768 0.4865
Sr 0.2568 0.5903 0.5135
! VASP energy, eV per atom: -2.3243
! Energy of formation, kJ per mole of atoms: 12.73
! Mass density, g/cm3: 3.519
! Energy above the lowest structure with this stoichiometry, meV/atom: 0

(4)
! Sr2ZnNi4Ge3 PBE-GGA optimized geometry; values from VASP
&SYSTEM
  ibrav = 0, nat = 10, ntyp = 4
/
ATOMIC_SPECIES
Zn 65.41 Zn.upf
Ni 58.69 Ni.upf
Sr 87.62 Sr.upf
Ge 72.64 Ge.upf
CELL_PARAMETERS angstrom
4.2703 0.0000 0.0000
0.0000 4.2703 0.0000
0.0000 0.0000 9.7118
ATOMIC_POSITIONS crystal
Zn 0.5000 0.5000 0.5000
Ni 0.5000 0.0000 0.6273
Ni 0.0000 0.0000 0.0000
Ni 0.5000 0.5000 0.0000
Ni 0.0000 0.5000 0.3727
Sr 0.5000 0.0000 0.2477
Sr 0.0000 0.5000 0.7523
Ge 0.0000 0.0000 0.5000
Ge 0.5000 0.0000 0.8811
Ge 0.0000 0.5000 0.1189
! VASP energy, eV per atom: -4.5936
! Energy of formation, kJ per mole of atoms: -41.69
! Mass density, g/cm3: 6.501

(5)
! RbEuTlCd PBE-GGA optimized geometry; values from VASP
&SYSTEM
  ibrav = 0, nat = 4, ntyp = 4
/
ATOMIC_SPECIES
Eu 151.96 Eu.upf
Tl 204.38 Tl.upf
Cd 112.41 Cd.upf
Rb 85.47 Rb.upf
CELL_PARAMETERS angstrom
5.8884 0.0000 0.0000
2.9442 5.0995 0.0000
2.9442 1.6998 4.8078
ATOMIC_POSITIONS crystal
Eu 0.5000 0.5000 0.5000
Tl 0.2500 0.2500 0.2500
Cd 0.7500 0.7500 0.7500
Rb 0.0000 0.0000 0.0000
! VASP energy, eV per atom: -3.6814
! Energy of formation, kJ per mole of atoms: -4.88
! Mass density, g/cm3: 6.375

(6)
! AcHfAl2 PBE-GGA optimized geometry; values from VASP
&SYSTEM
  ibrav = 0, nat = 4, ntyp = 3
/
ATOMIC_SPECIES
Ac 227.00 Ac.upf
Hf 178.49 Hf.upf
Al 26.98 Al.upf
CELL_PARAMETERS angstrom
-1.8183 0.9284 3.0822
-0.6552 -3.5726 0.6896
6.0838 -0.3996 3.7095
ATOMIC_POSITIONS crystal
Ac 0.5000 0.5000 0.5000
Hf 0.5000 0.5000 0.0000
Al 0.0000 0.0000 0.1888
Al 0.0000 0.0000 0.8112
! VASP energy, eV per atom: -5.5659
! Energy of formation, kJ per mole of atoms: -17.29
! Mass density, g/cm3: 7.821
! Energy above the lowest structure with this stoichiometry, meV/atom: 0

(7)
! Ba2Al4CdIn3 PBE-GGA optimized geometry; values from VASP
&SYSTEM
  ibrav = 0, nat = 10, ntyp = 4
/
ATOMIC_SPECIES
Al 26.98 Al.upf
Cd 112.41 Cd.upf
Ba 137.33 Ba.upf
In 114.82 In.upf
CELL_PARAMETERS angstrom
4.8016 0.0000 0.0000
0.0000 4.8016 0.0000
0.0000 0.0000 11.6385
ATOMIC_POSITIONS crystal
Al 0.0000 0.5000 0.3695
Al 0.5000 0.0000 0.6305
Al 0.5000 0.5000 0.0000
Al 0.0000 0.0000 0.0000
Cd 0.5000 0.5000 0.5000
Ba 0.5000 0.0000 0.2490
Ba 0.0000 0.5000 0.7510
In 0.0000 0.5000 0.1320
In 0.0000 0.0000 0.5000
In 0.5000 0.0000 0.8680
! VASP energy, eV per atom: -3.0557
! Energy of formation, kJ per mole of atoms: -25.19
! Mass density, g/cm3: 5.195

(8)
! Sm4SnTe2Pb PBE-GGA optimized geometry; values from VASP
&SYSTEM
  ibrav = 0, nat = 8, ntyp = 4
/
ATOMIC_SPECIES
Sm 150.36 Sm.upf
Te 127.60 Te.upf
Sn 118.71 Sn.upf
Pb 207.20 Pb.upf
CELL_PARAMETERS angstrom
4.4845 0.0000 0.0000
0.0000 7.7943 -0.1677
0.0000 2.7301 7.2605
ATOMIC_POSITIONS crystal
Sm 0.0000 0.2595 0.2446
Sm 0.5000 0.7421 0.2509
Sm 0.0000 0.7405 0.7554
Sm 0.5000 0.2579 0.7491
Te 0.5000 0.0000 0.5000
Te 0.0000 0.0000 0.0000
Sn 0.5000 0.5000 0.0000
Pb 0.0000 0.5000 0.5000
! Formation energy (no corrections), eV per atom: -1.05
! VASP energy, eV per atom: -5.1592
! Mass density, g/cm3: 7.676

(9)
! PmSmCdPd PBE-GGA optimized geometry; values from VASP
&SYSTEM
  ibrav = 0, nat = 4, ntyp = 4
/
ATOMIC_SPECIES
Pd 106.42 Pd.upf
Cd 112.41 Cd.upf
Sm 150.36 Sm.upf
Pm 145.00 Pm.upf
CELL_PARAMETERS angstrom
5.2411 0.0000 0.0000
2.6205 4.5389 0.0000
2.6205 1.5130 4.2793
ATOMIC_POSITIONS crystal
Pd 0.2500 0.2500 0.2500
Cd 0.7500 0.7500 0.7500
Sm 0.0000 0.0000 0.0000
Pm 0.5000 0.5000 0.5000
! VASP energy, eV per atom: -4.3875
! Energy of formation, kJ per mole of atoms: -47.58
! Mass density, g/cm3: 8.387

(10)
! Ba2SmUS6 PBE-GGA optimized geometry; values from VASP
&SYSTEM
  ibrav = 0, nat = 20, ntyp = 4
/
ATOMIC_SPECIES
S 32.06 S.upf
U 238.03 U.upf
Sm 150.36 Sm.upf
Ba 137.33 Ba.upf
CELL_PARAMETERS angstrom
7.2583 0.0000 -0.0287
0.0000 7.5422 0.0000
0.0229 0.0000 10.4218
ATOMIC_POSITIONS crystal
S 0.2895 0.6966 0.0454
S 0.7105 0.3034 0.9546
S 0.6942 0.2880 0.5477
S 0.2105 0.1966 0.4546
S 0.7895 0.8034 0.5454
S 0.4118 0.9777 0.7422
S 0.8058 0.7880 0.9523
S 0.0882 0.4777 0.7578
S 0.1942 0.2120 0.0477
S 0.9118 0.5223 0.2422
S 0.5882 0.0223 0.2578
S 0.3058 0.7120 0.4523
U 0.0000 0.5000 0.0000
U 0.5000 0.0000 0.5000
Sm 0.0000 0.5000 0.5000
Sm 0.5000 0.0000 0.0000
Ba 0.9826 0.0623 0.7496
Ba 0.0174 0.9377 0.2504
Ba 0.5174 0.5623 0.7504
Ba 0.4826 0.4377 0.2496
! Formation energy (no corrections), eV per atom: -1.87
! VASP energy, eV per atom: -6.3317
! Mass density, g/cm3: 4.979

(11)
! LaTa2Zn PBE-GGA optimized geometry; values from VASP
&SYSTEM
  ibrav = 0, nat = 4, ntyp = 3
/
ATOMIC_SPECIES
Zn 65.41 Zn.upf
Ta 180.95 Ta.upf
La 138.91 La.upf
CELL_PARAMETERS angstrom
-0.7188 2.8066 -0.7536
-0.8915 -1.8953 -2.1388
-8.7358 -1.0175 4.5429
ATOMIC_POSITIONS crystal
Zn 0.0000 0.0000 0.4696
Ta 0.5000 0.5000 0.2503
Ta 0.0000 0.0000 0.0345
La 0.5000 0.5000 0.7456
! VASP energy, eV per atom: -7.2324
! Energy of formation, kJ per mole of atoms: 23.57
! Mass density, g/cm3: 11.280

(12)
! NdEr2TmTe6 PBE-GGA optimized geometry; values from VASP
&SYSTEM
  ibrav = 0, nat = 10, ntyp = 4
/
ATOMIC_SPECIES
Te 127.60 Te.upf
Nd 144.24 Nd.upf
Er 167.26 Er.upf
Tm 168.93 Tm.upf
CELL_PARAMETERS angstrom
-5.4323 4.4215 -3.2253
-4.9437 -3.0498 -5.0717
-7.8522 -1.1235 2.4676
ATOMIC_POSITIONS crystal
Te 0.3997 0.7313 0.7521
Te 0.9151 0.6012 0.2459
Te 0.1170 0.3997 0.7521
Te 0.6013 0.2378 0.2459
Te 0.7313 0.1170 0.7520
Te 0.2378 0.9152 0.2459
Nd 0.8198 0.8198 0.5406
Er 0.5095 0.5095 0.4715
Er 0.0071 0.0071 0.9786
Tm 0.3231 0.3231 0.0307
! Formation energy (no corrections), eV per atom: -1.35
! VASP energy, eV per atom: -5.0679
! Mass density, g/cm3: 6.498